(1)
Material: NbZnPd3
Method: DFT, GGA-PBE
State: optimized geometry

SG: Pm-3m, No. 221
E_tot: -22.2 eV/cell
Energy relative to the elements: 0.949 eV per atom
DOS(E_F): 5.3 states/eV per cell
Offset from the most stable computed form: 1236 meV/atom

abc: 4.856 4.856 4.856
angles: 90.00 90.00 90.00
Element x y z (fractional)
1 Zn 0.500 0.500 0.500
2 Pd 0.000 0.000 0.500
3 Pd 0.000 0.500 0.000
4 Pd 0.500 0.000 0.000
5 Nb 0.000 0.000 0.000

(2)
Material: ReMo3
Method: DFT, GGA-PBE
State: optimized geometry

SG: P6_3/mmc, No. 194
E_tot: -87.3 eV/cell
Energy relative to the elements: 0.328 eV per atom
DOS(E_F): 10.6 states/eV per cell

abc: 5.540 5.540 4.770
angles: 90.00 90.00 120.00
Element x y z (fractional)
1 Re 0.333 0.667 0.250
2 Re 0.667 0.333 0.750
3 Mo 0.168 0.336 0.750
4 Mo 0.832 0.664 0.250
5 Mo 0.832 0.168 0.250
6 Mo 0.336 0.168 0.250
7 Mo 0.664 0.832 0.750
8 Mo 0.168 0.832 0.750

(3)
Material: Np2PN
Method: DFT, GGA-PBE
State: optimized geometry

SG: P-1, No. 2
E_tot: -86.2 eV/cell
DOS(E_F): 21.4 states/eV per cell
Uncorrected formation energy: -867 meV per atom
Offset from the most stable computed form: 49 meV/atom

abc: 3.844 4.019 10.154
angles: 90.29 87.84 89.98
Last column: magnetic moment on the atom in μB.
Element x y z (fractional)
1 Np 0.294 0.246 0.107  4.12
2 Np 0.740 0.251 0.607  3.25
3 Np 0.706 0.754 0.893  4.12
4 Np 0.260 0.749 0.393  3.25
5 N 0.749 0.750 0.513  -0.17
6 N 0.251 0.250 0.487  -0.17
7 P 0.210 0.254 0.830  -0.13
8 P 0.790 0.746 0.170  -0.13

(4)
Material: LiCdTc2
Method: DFT, GGA-PBE
State: optimized geometry

SG: Cmm2, No. 35
E_tot: -22.7 eV/cell
Energy relative to the elements: 0.218 eV per atom
DOS(E_F): 2.6 states/eV per cell

abc: 2.737 2.737 9.550
angles: 90.00 90.00 115.05
Element x y z (fractional)
1 Tc 0.500 0.500 0.227
2 Tc 0.000 0.000 0.006
3 Li 0.500 0.500 0.767
4 Cd 0.000 0.000 0.501

(5)
Material: TbHoCdIn
Method: DFT, GGA-PBE
State: optimized geometry

SG: F-43m, No. 216
E_tot: -14.5 eV/cell
Energy relative to the elements: -0.407 eV per atom
DOS(E_F): 3.9 states/eV per cell

abc: 5.301 5.301 5.301
angles: 60.00 60.00 60.00
Element x y z (fractional)
1 Ho 0.250 0.250 0.250
2 In 0.000 0.000 0.000
3 Tb 0.750 0.750 0.750
4 Cd 0.500 0.500 0.500

(6)
Material: UIn3Hg2Br6
Method: DFT, GGA-PBE
State: optimized geometry

SG: C2/m, No. 12
E_tot: -39.1 eV/cell
DOS(E_F): 11.6 states/eV per cell
Uncorrected formation energy: -745 meV per atom

abc: 7.063 8.202 9.200
angles: 116.47 91.68 90.00
Last column: magnetic moment on the atom in μB.
Element x y z (fractional)
1 Hg 0.746 0.352 0.703  0.00
2 Hg 0.254 0.648 0.297  0.00
3 U 0.500 0.000 0.000  2.57
4 Br 0.721 0.328 0.167  -0.01
5 Br 0.254 0.135 0.269  -0.02
6 Br 0.279 0.672 0.833  -0.01
7 Br 0.721 0.839 0.167  -0.01
8 Br 0.746 0.865 0.731  -0.02
9 Br 0.279 0.161 0.833  -0.01
10 In 0.000 0.500 0.000  0.00
11 In 0.500 0.000 0.500  0.00
12 In 0.500 0.500 0.500  0.00

(7)
Material: Si3PSe
Method: DFT, GGA-PBE
State: optimized geometry

SG: Pm-3m, No. 221
E_tot: -18.5 eV/cell
DOS(E_F): 3.2 states/eV per cell
Uncorrected formation energy: 1325 meV per atom
Offset from the most stable computed form: 503 meV/atom

abc: 4.862 4.862 4.862
angles: 90.00 90.00 90.00
Element x y z (fractional)
1 Se 0.000 0.000 0.000
2 Si 0.000 0.500 0.000
3 Si 0.000 0.000 0.500
4 Si 0.500 0.000 0.000
5 P 0.500 0.500 0.500

(8)
Material: RbSn2Cl7
Method: DFT, GGA-PBE
State: optimized geometry

SG: Cmmm, No. 65
E_tot: -32.8 eV/cell
DOS(E_F): 2.4 states/eV per cell
Uncorrected formation energy: -1090 meV per atom

abc: 5.308 12.625 8.764
angles: 136.08 90.00 90.00
Element x y z (fractional)
1 Cl 0.500 0.500 0.000
2 Cl 0.000 0.708 0.415
3 Cl 0.500 0.995 0.706
4 Cl 0.000 0.292 0.585
5 Cl 0.500 0.289 0.294
6 Cl 0.500 0.711 0.706
7 Cl 0.500 0.005 0.294
8 Rb 0.000 0.000 0.000
9 Sn 0.500 0.718 0.435
10 Sn 0.500 0.282 0.565

(9)
Material: Ta2IBr4
Method: DFT, GGA-PBE
State: optimized geometry

SG: C2, No. 5
E_tot: -69.9 eV/cell
DOS(E_F): 1.8 states/eV per cell
Uncorrected formation energy: -429 meV per atom

abc: 7.150 7.150 10.866
angles: 112.66 110.36 83.46
Element x y z (fractional)
1 Ta 0.440 0.449 0.128
2 Ta 0.321 0.312 0.872
3 Ta 0.561 0.950 0.365
4 Ta 0.586 0.196 0.635
5 Br 0.773 0.649 0.226
6 Br 0.850 0.926 0.575
7 Br 0.674 0.148 0.234
8 Br 0.630 0.102 0.861
9 Br 0.351 0.275 0.425
10 Br 0.423 0.548 0.774
11 Br 0.241 0.769 0.139
12 Br 0.914 0.440 0.766
13 I 0.147 0.147 0.000
14 I 0.338 0.839 0.500

(10)
Material: YEr2ScSe4
Method: DFT, GGA-PBE
State: optimized geometry

SG: P2/m, No. 10
E_tot: -49.3 eV/cell
DOS(E_F): 5.1 states/eV per cell
Uncorrected formation energy: -1676 meV per atom

abc: 3.978 6.960 6.989
angles: 70.98 90.00 90.00
Element x y z (fractional)
1 Er 0.500 0.000 0.500
2 Er 0.000 0.000 0.000
3 Y 0.000 0.500 0.500
4 Se 0.500 0.251 0.757
5 Se 0.000 0.744 0.759
6 Se 0.500 0.749 0.243
7 Se 0.000 0.256 0.241
8 Sc 0.500 0.500 0.000

(11)
Material: Dy2Ag3Hg3
Method: DFT, GGA-PBE
State: optimized geometry

SG: R3m, No. 160
E_tot: -21.1 eV/cell
Energy relative to the elements: -0.300 eV per atom
DOS(E_F): 4.9 states/eV per cell

abc: 4.990 4.990 8.612
angles: 73.16 73.16 60.00
Element x y z (fractional)
1 Ag 0.749 0.749 0.754
2 Ag 0.625 0.625 0.124
3 Ag 0.251 0.251 0.247
4 Hg 0.876 0.876 0.373
5 Hg 0.374 0.374 0.879
6 Hg 0.125 0.125 0.624
7 Dy 0.000 0.000 0.001
8 Dy 0.500 0.500 0.499

(12)
Material: PmVRu2
Method: DFT, GGA-PBE
State: optimized geometry

SG: R-3m, No. 166
E_tot: -31.6 eV/cell
Energy relative to the elements: 0.217 eV per atom
DOS(E_F): 4.3 states/eV per cell
Offset from the most stable computed form: 332 meV/atom

abc: 3.048 3.048 8.825
angles: 80.05 80.05 60.00
Element x y z (fractional)
1 Pm 0.500 0.500 0.500
2 V 0.000 0.000 0.000
3 Ru 0.265 0.265 0.205
4 Ru 0.735 0.735 0.795

> Which formula does entry 2 have?

ReMo3

> Look up the E_tot of the fourth one.

-22.7 eV/cell